Entry 1:
VASP calculation (PBE) on an optimized crystal structure of Ni2OsRu.

Computed properties:
DFT formation energy (meV/atom): 297
Crystal system: cubic
ΔE to the lowest computed polymorph (eV/atom): 0.2230

```
Ni2OsRu
1.0
0.000 2.926 2.926
2.926 0.000 2.926
2.926 2.926 0.000
Ru Os Ni
1 1 2
Cartesian
0.000 0.000 0.000
2.926 2.926 2.926
1.463 1.463 1.463
4.388 4.388 4.388
```



Entry 2:
VASP calculation (PBE) on an optimized crystal structure of NiOsRu.

Computed properties:
DFT formation energy (meV/atom): 44
Crystal system: orthorhombic
ΔE to the lowest computed polymorph (eV/atom): 0.0000

```
NiOsRu
1.0
4.291 0.000 0.000
0.000 4.577 0.000
0.000 0.000 7.991
Ni Os Ru
4 4 4
Cartesian
1.073 0.762 2.570
3.218 3.815 2.570
1.073 3.051 6.566
3.218 1.527 6.566
1.073 3.076 3.833
3.218 1.501 3.833
1.073 0.787 7.828
3.218 3.790 7.828
1.073 0.804 5.243
3.218 3.773 5.243
1.073 3.093 1.247
3.218 1.485 1.247
```



Entry 3:
VASP calculation (PBE) on an optimized crystal structure of Ni2Os2Ru.

Computed properties:
DFT formation energy (meV/atom): 641
Crystal system: tetragonal
ΔE to the lowest computed polymorph (eV/atom): 0.1221

```
Ni2Os2Ru
1.0
3.291 0.000 0.000
0.000 3.291 0.000
1.646 1.646 6.419
Ru Os Ni
1 2 2
Cartesian
0.000 0.000 0.000
1.646 1.646 1.310
3.291 3.291 5.109
3.291 1.646 3.210
1.646 3.291 3.210
```